First-principles (PBE-GGA) data for an optimized crystal structure of TaCrGa2Bi, as listed in Alexandria via LeMat-Bulk.

Computed properties:
ΔE_f   1.063 eV/atom
E   -26.096 eV for the cell shown
Total magnetic moment   4.12 μB per cell

Geometry as POSCAR:
```
TaCrGa2Bi
1.0
4.6890 0.0000 0.0000
0.0000 4.6890 0.0000
0.0000 0.0000 5.0951
Ta Cr Ga Bi
1 1 2 1
Cartesian
2.3445 2.3445 2.5475 Ta
0.0000 0.0000 0.0000 Cr
2.3445 0.0000 0.0000 Ga
0.0000 2.3445 0.0000 Ga
0.0000 0.0000 2.5475 Bi
```